# 1
The following is a GGA-PBE calculation of a relaxed structure of TlFe2Ag, from Alexandria. Values from VASP.

## Properties
Energy above the lowest structure with this stoichiometry in kJ per mole of atoms: 0.00
Density of states at the Fermi level in states/eV per atom: 0.55
Formation energy in eV per atom: 0.3590
Total moment in Bohr magnetons per cell: 5.4
Electronic total energy in eV for the cell shown: -20.707

```
&SYSTEM
  ibrav = 0, nat = 4, ntyp = 3
/
ATOMIC_SPECIES
Tl 204.38 Tl.upf
Fe 55.84 Fe.upf
Ag 107.87 Ag.upf
CELL_PARAMETERS angstrom
3.101 0.000 0.000
0.000 3.101 0.000
0.000 0.000 7.044
ATOMIC_POSITIONS crystal
Tl 0.000 0.000 0.000
Fe 0.000 0.000 0.565
Fe 0.500 0.500 0.720
Ag 0.500 0.500 0.317
```

***

# 2
The following is a GGA-PBE calculation of a relaxed structure of RbIn2P2, from Alexandria. Values from VASP.

## Properties
Energy above the lowest structure with this stoichiometry in kJ per mole of atoms: 0.00
Density of states at the Fermi level in states/eV per atom: 0.20
Formation energy in eV per atom: -0.1812
Total moment in Bohr magnetons per cell: 0.0
Electronic total energy in eV for the cell shown: -18.170

```
&SYSTEM
  ibrav = 0, nat = 5, ntyp = 3
/
ATOMIC_SPECIES
Rb 85.47 Rb.upf
In 114.82 In.upf
P 30.97 P.upf
CELL_PARAMETERS angstrom
-2.334 2.334 6.993
2.334 -2.334 6.993
2.334 2.334 -6.993
ATOMIC_POSITIONS crystal
Rb 0.000 0.000 0.000
In 0.250 0.750 0.500
In 0.750 0.250 0.500
P 0.350 0.350 0.000
P 0.650 0.650 0.000
```